# 1
A geometry-optimized As2PPb structure. Source: Alexandria, functional GGA-PBE.

Calculated values
As for the space group: Fm-3m (225). The energy relative to the elements is 0.56 eV/atom. For the excess energy over the best structure of this formula in the dataset, the calculation gives 449 meV per atom. The value obtained for the total energy is -4.04 eV/atom.

a = 6.9910 Å, b = 6.9910 Å, c = 6.9910 Å
α = 90.00°, β = 90.00°, γ = 90.00°
Closest atoms and distances in Å follow each position.
Fractional coordinates of all 16 atoms:
As1 0.2500 0.2500 0.2500  4 Pb 3.03, 4 P 3.03
As2 0.2500 0.2500 0.7500  4 Pb 3.03, 4 P 3.03
As3 0.2500 0.7500 0.2500  4 Pb 3.03, 4 P 3.03
As4 0.2500 0.7500 0.7500  4 Pb 3.03, 4 P 3.03
As5 0.7500 0.2500 0.2500  4 Pb 3.03, 4 P 3.03
As6 0.7500 0.2500 0.7500  4 Pb 3.03, 4 P 3.03
As7 0.7500 0.7500 0.2500  4 Pb 3.03, 4 P 3.03
As8 0.7500 0.7500 0.7500  4 Pb 3.03, 4 P 3.03
P1 0.0000 0.0000 0.0000  8 As 3.03
P2 0.0000 0.5000 0.5000  8 As 3.03
P3 0.5000 0.0000 0.5000  8 As 3.03
P4 0.5000 0.5000 0.0000  8 As 3.03
Pb1 0.0000 0.0000 0.5000  8 As 3.03
Pb2 0.0000 0.5000 0.0000  8 As 3.03
Pb3 0.5000 0.0000 0.0000  8 As 3.03
Pb4 0.5000 0.5000 0.5000  8 As 3.03

# 2
A geometry-optimized As2PPb structure. Source: Alexandria, functional GGA-PBE.

Calculated values
As for the space group: Pmm2 (25). The energy relative to the elements is 0.13 eV/atom. For the excess energy over the best structure of this formula in the dataset, the calculation gives 13 meV per atom. The value obtained for the total energy is -4.48 eV/atom.

a = 3.3845 Å, b = 5.5590 Å, c = 5.5257 Å
α = 90.00°, β = 90.00°, γ = 90.00°
Closest atoms and distances in Å follow each position.
Fractional coordinates of all 4 atoms:
As1 0.0000 0.0000 0.0000  2 P 2.33
As2 0.0000 0.5000 0.0910  2 As 2.82, 2 Pb 3.05
P1 0.5000 0.0000 0.7110  2 As 2.33
Pb1 0.5000 0.5000 0.5500  2 P 2.92, 2 As 3.05

# 3
A geometry-optimized As2PPb structure. Source: Alexandria, functional GGA-PBE.

Calculated values
As for the space group: P4mm (99). The energy relative to the elements is 0.11 eV/atom. For the excess energy over the best structure of this formula in the dataset, the calculation gives 0 meV per atom. The value obtained for the total energy is -4.49 eV/atom.

a = 3.9454 Å, b = 3.9454 Å, c = 6.2106 Å
α = 90.00°, β = 90.00°, γ = 90.00°
Closest atoms and distances in Å follow each position.
Fractional coordinates of all 4 atoms:
As1 0.0000 0.0000 0.0000  4 As 2.82, 1 Pb 2.90
As2 0.5000 0.5000 0.0639  1 P 2.29
P1 0.5000 0.5000 0.4332  1 As 2.29
Pb1 0.0000 0.0000 0.5325  4 P 2.86, 1 As 2.90

# 4
A geometry-optimized As2PPb structure. Source: Alexandria, functional GGA-PBE.

Calculated values
As for the space group: P4/mmm (123). The energy relative to the elements is 0.39 eV/atom. For the excess energy over the best structure of this formula in the dataset, the calculation gives 282 meV per atom. The value obtained for the total energy is -4.21 eV/atom.

a = 3.3374 Å, b = 3.3374 Å, c = 7.7843 Å
α = 90.00°, β = 90.00°, γ = 90.00°
Closest atoms and distances in Å follow each position.
Fractional coordinates of all 4 atoms:
As1 0.0000 0.0000 0.1770  4 P 2.73, 1 As 2.76
As2 0.0000 0.0000 0.8230  4 P 2.73, 1 As 2.76
P1 0.5000 0.5000 0.0000  8 As 2.73
Pb1 0.5000 0.5000 0.5000  4 Pb 3.34, 8 As 3.45